Entry 1:
K2RbPuF6 | PBE-GGA | optimized geometry

Computed properties:
The value obtained for the electronic total energy is -5.98 eV per atom. Its crystal system is monoclinic. The calculation puts the density at 4.1 Mg/m³. The space-group type is P2_1/c, No. 14.

abc: 6.632 6.857 11.313
angles: 90.00 123.79 90.00
Element x y z (fractional)
K 0.216 0.042 0.226
K 0.216 0.458 0.726
K 0.784 0.542 0.274
K 0.784 0.958 0.774
Rb 0.000 0.000 0.500
Rb 0.000 0.500 0.000
Pu 0.500 0.000 0.000
Pu 0.500 0.500 0.500
F 0.169 0.159 0.966
F 0.169 0.341 0.466
F 0.232 0.738 0.899
F 0.232 0.762 0.399
F 0.412 0.099 0.783
F 0.412 0.401 0.283
F 0.588 0.599 0.717
F 0.588 0.901 0.217
F 0.768 0.238 0.601
F 0.768 0.262 0.101
F 0.831 0.659 0.534
F 0.831 0.841 0.034


Entry 2:
KRb2Pu3F12 | PBE-GGA | optimized geometry

Computed properties:
The value obtained for the electronic total energy is -7.09 eV per atom. Its crystal system is trigonal. The calculation puts the density at 4.5 Mg/m³. The space-group type is R-3m, No. 166.

abc: 8.146 8.146 8.146
angles: 65.66 65.66 65.66
Element x y z (fractional)
K 0.000 0.000 0.000
Rb 0.365 0.365 0.365
Rb 0.635 0.635 0.635
Pu 0.000 0.000 0.500
Pu 0.000 0.500 0.000
Pu 0.500 0.000 0.000
F 0.098 0.731 0.731
F 0.136 0.136 0.574
F 0.136 0.574 0.136
F 0.269 0.269 0.902
F 0.269 0.902 0.269
F 0.426 0.864 0.864
F 0.574 0.136 0.136
F 0.731 0.098 0.731
F 0.731 0.731 0.098
F 0.864 0.426 0.864
F 0.864 0.864 0.426
F 0.902 0.269 0.269


Entry 3:
K2RbPuF8 | PBE-GGA | optimized geometry

Computed properties:
The value obtained for the electronic total energy is -5.75 eV per atom. Its crystal system is tetragonal. The calculation puts the density at 4.2 Mg/m³. The space-group type is I-4m2, No. 119.

abc: 7.423 7.423 7.423
angles: 132.05 132.05 70.14
Element x y z (fractional)
K 0.000 0.000 0.000
K 0.750 0.250 0.500
Rb 0.500 0.500 0.000
Pu 0.250 0.750 0.500
F 0.141 0.063 0.496
F 0.141 0.646 0.078
F 0.354 0.432 0.496
F 0.354 0.859 0.922
F 0.568 0.063 0.922
F 0.568 0.646 0.504
F 0.937 0.432 0.078
F 0.937 0.859 0.504


Entry 4:
KPuSnF6 | PBE-GGA | optimized geometry

Computed properties:
The value obtained for the electronic total energy is -6.39 eV per atom. Its crystal system is trigonal. The calculation puts the density at 6.0 Mg/m³. The space-group type is P3, No. 143.

abc: 6.578 6.578 3.801
angles: 90.00 90.00 120.00
Element x y z (fractional)
K 0.000 0.000 0.000
Pu 0.667 0.333 0.432
Sn 0.333 0.667 0.803
F 0.060 0.689 0.450
F 0.311 0.371 0.450
F 0.428 0.100 0.927
F 0.629 0.940 0.450
F 0.672 0.572 0.927
F 0.900 0.328 0.927


Entry 5:
K2SrPuF8 | PBE-GGA | optimized geometry

Computed properties:
The value obtained for the electronic total energy is -6.17 eV per atom. Its crystal system is tetragonal. The calculation puts the density at 4.6 Mg/m³. The space-group type is I-4m2, No. 119.

abc: 7.112 7.112 7.112
angles: 130.41 130.41 72.75
Element x y z (fractional)
K 0.000 0.000 0.000
K 0.750 0.250 0.500
Sr 0.500 0.500 0.000
Pu 0.250 0.750 0.500
F 0.155 0.096 0.516
F 0.155 0.639 0.059
F 0.361 0.420 0.516
F 0.361 0.845 0.941
F 0.580 0.096 0.941
F 0.580 0.639 0.484
F 0.904 0.420 0.059
F 0.904 0.845 0.484


Entry 6:
KPuTl2F8 | PBE-GGA | optimized geometry

Computed properties:
The value obtained for the electronic total energy is -5.62 eV per atom. Its crystal system is tetragonal. The calculation puts the density at 6.2 Mg/m³. The space-group type is I-4m2, No. 119.

abc: 7.379 7.379 7.379
angles: 130.72 130.72 72.25
Element x y z (fractional)
K 0.000 0.000 0.000
Pu 0.750 0.250 0.500
Tl 0.250 0.750 0.500
Tl 0.500 0.500 0.000
F 0.064 0.149 0.498
F 0.064 0.566 0.915
F 0.434 0.349 0.498
F 0.434 0.936 0.085
F 0.651 0.149 0.085
F 0.651 0.566 0.502
F 0.851 0.349 0.915
F 0.851 0.936 0.502


Entry 7:
K2PuTlF6 | PBE-GGA | optimized geometry

Computed properties:
The value obtained for the electronic total energy is -5.92 eV per atom. Its crystal system is monoclinic. The calculation puts the density at 5.0 Mg/m³. The space-group type is P2_1/c, No. 14.

abc: 6.622 6.841 11.282
angles: 90.00 123.66 90.00
Element x y z (fractional)
K 0.217 0.042 0.228
K 0.217 0.458 0.728
K 0.783 0.542 0.272
K 0.783 0.958 0.772
Pu 0.500 0.000 0.000
Pu 0.500 0.500 0.500
Tl 0.000 0.000 0.500
Tl 0.000 0.500 0.000
F 0.169 0.162 0.965
F 0.169 0.338 0.465
F 0.234 0.738 0.902
F 0.234 0.762 0.402
F 0.410 0.096 0.782
F 0.410 0.404 0.282
F 0.590 0.596 0.718
F 0.590 0.904 0.218
F 0.766 0.238 0.598
F 0.766 0.262 0.098
F 0.831 0.662 0.535
F 0.831 0.838 0.035


Entry 8:
K2PuTlF8 | PBE-GGA | optimized geometry

Computed properties:
The value obtained for the electronic total energy is -5.70 eV per atom. Its crystal system is tetragonal. The calculation puts the density at 5.2 Mg/m³. The space-group type is I-4m2, No. 119.

abc: 7.353 7.353 7.353
angles: 131.62 131.62 70.83
Element x y z (fractional)
K 0.000 0.000 0.000
K 0.750 0.250 0.500
Pu 0.250 0.750 0.500
Tl 0.500 0.500 0.000
F 0.144 0.068 0.499
F 0.144 0.645 0.076
F 0.355 0.430 0.499
F 0.355 0.856 0.924
F 0.570 0.068 0.924
F 0.570 0.645 0.501
F 0.932 0.430 0.076
F 0.932 0.856 0.501


Entry 9:
KPuTl2F6 | PBE-GGA | optimized geometry

Computed properties:
The value obtained for the electronic total energy is -5.84 eV per atom. Its crystal system is monoclinic. The calculation puts the density at 6.2 Mg/m³. The space-group type is C2/m, No. 12.

abc: 6.712 6.712 6.821
angles: 120.24 120.24 59.64
Element x y z (fractional)
K 0.000 0.000 0.000
Pu 0.500 0.500 0.500
Tl 0.251 0.251 0.720
Tl 0.749 0.749 0.280
F 0.193 0.661 0.657
F 0.276 0.276 0.164
F 0.339 0.807 0.343
F 0.661 0.193 0.657
F 0.724 0.724 0.836
F 0.807 0.339 0.343


Entry 10:
KTmPuF6 | PBE-GGA | optimized geometry

Computed properties:
The value obtained for the electronic total energy is -6.91 eV per atom. Its crystal system is trigonal. The calculation puts the density at 5.4 Mg/m³. The space-group type is P-31c, No. 163.

abc: 6.418 6.418 9.702
angles: 90.00 90.00 120.00
Element x y z (fractional)
K 0.000 0.000 0.000
K 0.000 0.000 0.500
Tm 0.333 0.667 0.250
Tm 0.667 0.333 0.750
Pu 0.333 0.667 0.750
Pu 0.667 0.333 0.250
F 0.033 0.387 0.137
F 0.033 0.646 0.363
F 0.354 0.387 0.363
F 0.354 0.967 0.137
F 0.387 0.033 0.637
F 0.387 0.354 0.863
F 0.613 0.646 0.137
F 0.613 0.967 0.363
F 0.646 0.033 0.863
F 0.646 0.613 0.637
F 0.967 0.354 0.637
F 0.967 0.613 0.863